Record 1
{
  "formula": "InGaTe2",
  "functional": "PBE",
  "state": "optimized geometry",
  "lattice_angstrom": [[-3.9071, 3.9071, 4.5375], [3.9071, -3.9071, 4.5375], [3.9071, 3.9071, -4.5375]],
  "species": ["In", "In", "Ga", "Ga", "Te", "Te", "Te", "Te"],
  "frac_coords": [[0.0000, 0.0000, 0.0000], [0.7500, 0.2500, 0.5000], [0.2500, 0.7500, 0.5000], [0.5000, 0.5000, 0.0000], [0.1943, 0.6250, 0.0693], [0.3750, 0.4443, 0.5693], [0.5557, 0.1250, 0.9307], [0.8750, 0.8057, 0.4307]],
  "final_energy_ev_per_cell": -25.91,
  "spacegroup": "No. 122",
  "formation_energy_uncorrected_ev_per_atom": -0.227,
  "density_g_cm3": 5.27,
  "dos_ef_per_ev_atom": 0.000
}


Record 2
{
  "formula": "KOsRh2",
  "functional": "PBE",
  "state": "optimized geometry",
  "lattice_angstrom": [[4.2804, -1.3529, 0.0000], [4.2804, 1.3529, 0.0000], [-0.4607, 0.0000, 7.0731]],
  "species": ["K", "Os", "Rh", "Rh"],
  "frac_coords": [[0.0000, 0.0000, 0.0000], [0.5000, 0.5000, 0.5000], [0.2363, 0.2363, 0.6581], [0.7637, 0.7637, 0.3419]],
  "final_energy_ev_per_cell": -24.58,
  "spacegroup": "No. 12",
  "density_g_cm3": 8.82,
  "dos_ef_per_ev_atom": 0.887,
  "relative_energy_kj_per_mol_fu": 66.6,
  "delta_e_f_ev_per_atom": 0.61
}


Record 3
{
  "formula": "Pr2NdAg",
  "functional": "PBE",
  "state": "optimized geometry",
  "lattice_angstrom": [[1.8535, 1.0701, 10.8395], [-1.8535, 1.0701, 10.8395], [0.0000, -2.1402, 10.8395]],
  "species": ["Pr", "Pr", "Nd", "Ag"],
  "frac_coords": [[0.2408, 0.2408, 0.2408], [0.7592, 0.7592, 0.7592], [0.0000, 0.0000, 0.0000], [0.5000, 0.5000, 0.5000]],
  "final_energy_ev_per_cell": -17.20,
  "spacegroup": "No. 166",
  "density_g_cm3": 6.87,
  "dos_ef_per_ev_atom": 1.113,
  "relative_energy_kj_per_mol_fu": 36.9,
  "delta_e_f_ev_per_atom": -0.01
}


Record 4
{
  "formula": "BeOsRh",
  "functional": "PBE",
  "state": "optimized geometry",
  "lattice_angstrom": [[-1.3470, 1.7973, 3.9088], [1.3470, -1.7973, 3.9088], [1.3470, 1.7973, -3.9088]],
  "species": ["Be", "Os", "Rh"],
  "frac_coords": [[0.0000, 0.0000, 0.0000], [0.6596, 0.6596, 0.0000], [0.3356, 0.3356, 0.0000]],
  "final_energy_ev_per_cell": -22.26,
  "spacegroup": "No. 44",
  "density_g_cm3": 13.26,
  "dos_ef_per_ev_atom": 0.605,
  "relative_energy_kj_per_mol_fu": 54.7,
  "delta_e_f_ev_per_atom": 0.01
}


Record 5
{
  "formula": "SrZnGa2Co",
  "functional": "PBE",
  "state": "optimized geometry",
  "lattice_angstrom": [[4.6176, 0.0000, 0.0000], [0.0000, 4.6176, 0.0000], [0.0000, 0.0000, 4.7452]],
  "species": ["Sr", "Zn", "Ga", "Ga", "Co"],
  "frac_coords": [[0.0000, 0.0000, 0.0000], [0.5000, 0.5000, 0.0000], [0.0000, 0.5000, 0.5000], [0.5000, 0.0000, 0.5000], [0.5000, 0.5000, 0.5000]],
  "final_energy_ev_per_cell": -17.65,
  "spacegroup": "No. 123",
  "density_g_cm3": 5.77,
  "dos_ef_per_ev_atom": 0.713,
  "delta_e_f_ev_per_atom": -0.31
}


Record 6
{
  "formula": "CaNiCl2",
  "functional": "PBE",
  "state": "optimized geometry",
  "lattice_angstrom": [[6.0445, -1.9616, 0.0000], [6.0445, 1.9616, 0.0000], [-0.0186, 0.0000, 4.5802]],
  "species": ["Ca", "Ni", "Cl", "Cl"],
  "frac_coords": [[0.0000, 0.0000, 0.0000], [0.5000, 0.5000, 0.5000], [0.3603, 0.3603, 0.7741], [0.6397, 0.6397, 0.2259]],
  "final_energy_ev_per_cell": -16.20,
  "spacegroup": "No. 12",
  "formation_energy_uncorrected_ev_per_atom": -1.182,
  "density_g_cm3": 2.59,
  "relative_energy_kj_per_mol_fu": 0.0
}


Record 7
{
  "formula": "La2TiVS6",
  "functional": "PBE",
  "state": "optimized geometry",
  "lattice_angstrom": [[6.3696, 0.0000, 0.0000], [0.0000, 7.0462, 0.0000], [-6.2915, 0.0000, 9.3277]],
  "species": ["La", "La", "La", "La", "Ti", "Ti", "V", "V", "S", "S", "S", "S", "S", "S", "S", "S", "S", "S", "S", "S"],
  "frac_coords": [[0.2123, 0.0970, 0.2493], [0.2123, 0.4030, 0.7493], [0.7877, 0.5970, 0.2507], [0.7877, 0.9030, 0.7507], [0.5000, 0.0000, 0.0000], [0.5000, 0.5000, 0.5000], [0.0000, 0.0000, 0.5000], [0.0000, 0.5000, 0.0000], [0.1328, 0.1904, 0.9515], [0.1328, 0.3096, 0.4515], [0.2700, 0.6927, 0.9513], [0.2700, 0.8073, 0.4513], [0.3493, 0.0148, 0.7497], [0.3493, 0.4852, 0.2497], [0.6507, 0.5148, 0.7503], [0.6507, 0.9852, 0.2503], [0.7300, 0.1927, 0.5487], [0.7300, 0.3073, 0.0487], [0.8672, 0.6904, 0.5485], [0.8672, 0.8096, 0.0485]],
  "final_energy_ev_per_cell": -136.73,
  "spacegroup": "No. 14",
  "formation_energy_uncorrected_ev_per_atom": -1.673,
  "density_g_cm3": 4.51,
  "dos_ef_per_ev_atom": 0.405
}


Record 8
{
  "formula": "Na2DyI5",
  "functional": "PBE",
  "state": "optimized geometry",
  "lattice_angstrom": [[8.2570, -4.3913, 0.0000], [8.2570, 4.3913, 0.0000], [-4.6210, 0.0000, 7.4660]],
  "species": ["Na", "Na", "Dy", "I", "I", "I", "I", "I"],
  "frac_coords": [[0.0000, 0.0000, 0.0000], [0.5002, 0.5002, 0.4988], [0.9204, 0.9204, 0.4218], [0.2077, 0.7361, 0.2357], [0.2120, 0.7403, 0.7115], [0.7180, 0.7180, 0.2260], [0.7361, 0.2077, 0.2357], [0.7403, 0.2120, 0.7115]],
  "final_energy_ev_per_cell": -24.85,
  "spacegroup": "No. 8",
  "formation_energy_uncorrected_ev_per_atom": -1.232,
  "density_g_cm3": 2.59,
  "dos_ef_per_ev_atom": 0.000,
  "relative_energy_kj_per_mol_fu": 23.0
}


Record 9
{
  "formula": "LiHgSb2",
  "functional": "PBE",
  "state": "optimized geometry",
  "lattice_angstrom": [[4.0541, 0.0000, 0.0000], [0.0000, 4.0541, 0.0000], [0.0000, 0.0000, 6.2074]],
  "species": ["Li", "Hg", "Sb", "Sb"],
  "frac_coords": [[0.0000, 0.0000, 0.0000], [0.5000, 0.5000, 0.8044], [0.0000, 0.0000, 0.4978], [0.5000, 0.5000, 0.2992]],
  "final_energy_ev_per_cell": -10.84,
  "spacegroup": "No. 99",
  "formation_energy_uncorrected_ev_per_atom": -0.095,
  "density_g_cm3": 7.34,
  "dos_ef_per_ev_atom": 0.200
}


Record 10
{
  "formula": "CsPrTl2",
  "functional": "PBE",
  "state": "optimized geometry",
  "lattice_angstrom": [[4.0698, 0.0000, 0.0000], [0.0000, 4.0698, 0.0000], [0.0000, 0.0000, 9.2665]],
  "species": ["Cs", "Pr", "Tl", "Tl"],
  "frac_coords": [[0.0000, 0.0000, 0.0000], [0.0000, 0.0000, 0.5000], [0.5000, 0.5000, 0.3091], [0.5000, 0.5000, 0.6909]],
  "final_energy_ev_per_cell": -11.14,
  "spacegroup": "No. 123",
  "density_g_cm3": 7.39,
  "dos_ef_per_ev_atom": 0.828,
  "relative_energy_kj_per_mol_fu": 0.0,
  "delta_e_f_ev_per_atom": -0.19
}


Record 11
{
  "formula": "Pr12NdCo6",
  "functional": "PBE",
  "state": "optimized geometry",
  "lattice_angstrom": [[-5.0932, 5.0932, 5.0932], [5.0932, -5.0932, 5.0932], [5.0932, 5.0932, -5.0932]],
  "species": ["Pr", "Pr", "Pr", "Pr", "Pr", "Pr", "Pr", "Pr", "Pr", "Pr", "Pr", "Pr", "Nd", "Co", "Co", "Co", "Co", "Co", "Co"],
  "frac_coords": [[0.1163, 0.8053, 0.3110], [0.1947, 0.3110, 0.5057], [0.1947, 0.6890, 0.8837], [0.3110, 0.1163, 0.8053], [0.3110, 0.5057, 0.1947], [0.4943, 0.8053, 0.6890], [0.5057, 0.1947, 0.3110], [0.6890, 0.4943, 0.8053], [0.6890, 0.8837, 0.1947], [0.8053, 0.3110, 0.1163], [0.8053, 0.6890, 0.4943], [0.8837, 0.1947, 0.6890], [0.0000, 0.0000, 0.0000], [0.1104, 0.6104, 0.5000], [0.3896, 0.5000, 0.8896], [0.5000, 0.1104, 0.6104], [0.5000, 0.8896, 0.3896], [0.6104, 0.5000, 0.1104], [0.8896, 0.3896, 0.5000]],
  "final_energy_ev_per_cell": -105.26,
  "spacegroup": "No. 204",
  "density_g_cm3": 6.88,
  "dos_ef_per_ev_atom": 0.999,
  "delta_e_f_ev_per_atom": -0.03
}


Record 12
{
  "formula": "Ta2TiNi2",
  "functional": "PBE",
  "state": "optimized geometry",
  "lattice_angstrom": [[7.3608, 0.0000, 0.0000], [0.0000, 7.3608, 0.0000], [0.0000, 0.0000, 2.8573]],
  "species": ["Ta", "Ta", "Ta", "Ta", "Ti", "Ti", "Ni", "Ni", "Ni", "Ni"],
  "frac_coords": [[0.1650, 0.3350, 0.0000], [0.3350, 0.8350, 0.0000], [0.6650, 0.1650, 0.0000], [0.8350, 0.6650, 0.0000], [0.0000, 0.0000, 0.0000], [0.5000, 0.5000, 0.0000], [0.1290, 0.6290, 0.5000], [0.3710, 0.1290, 0.5000], [0.6290, 0.8710, 0.5000], [0.8710, 0.3710, 0.5000]],
  "final_energy_ev_per_cell": -85.96,
  "spacegroup": "No. 127",
  "density_g_cm3": 11.31,
  "dos_ef_per_ev_atom": 1.042,
  "relative_energy_kj_per_mol_fu": 88.0,
  "delta_e_f_ev_per_atom": 0.04
}